(1)
A relaxed TiZn4Cd crystal. Source: the Alexandria database, functional PBE-GGA.

The structure belongs to space group F-43m (No. 216); the cell edges are 7.2903, 7.2903 and 7.2903 Å and the angles 90.00°, 90.00° and 90.00°. The distinct sites, in fractional coordinates, are Ti at (0.0000, 0.0000, 0.0000), Zn at (0.1264, 0.1264, 0.3736) and Cd at (0.2500, 0.2500, 0.7500).

For the density of states at the Fermi level, the calculation gives 19.55 states/eV per cell. For the total energy, the calculation gives -2.266 eV/atom.



(2)
A relaxed Cd12Hg3P5 crystal. Source: the Alexandria database, functional PBE-GGA.

The structure belongs to space group Ia-3d (No. 230); the cell edges are 15.9957, 15.9957 and 15.9957 Å and the angles 90.00°, 90.00° and 90.00°. The distinct sites, in fractional coordinates, are Cd at (0.0338, 0.0747, 0.6449), Hg at (0.0000, 0.2500, 0.1250), P at (0.0000, 0.0000, 0.0000) and P at (0.0000, 0.2500, 0.3750).

For the density of states at the Fermi level, the calculation gives 57.42 states/eV per cell. For the total energy, the calculation gives -1.901 eV/atom.



(3)
A relaxed LiSmErPd crystal. Source: the Alexandria database, functional PBE-GGA.

The structure belongs to space group F-43m (No. 216); the cell edges are 7.1560, 7.1560 and 7.1560 Å and the angles 90.00°, 90.00° and 90.00°. The distinct sites, in fractional coordinates, are Li at (0.0000, 0.0000, 0.0000), Sm at (0.2500, 0.2500, 0.7500), Er at (0.2500, 0.2500, 0.2500) and Pd at (0.0000, 0.0000, 0.5000).

For the density of states at the Fermi level, the calculation gives 11.32 states/eV per cell. For the total energy, the calculation gives -4.485 eV/atom.



(4)
A relaxed SmSnPt6 crystal. Source: the Alexandria database, functional PBE-GGA.

The structure belongs to space group P4/mmm (No. 123); the cell edges are 4.1321, 4.1321 and 8.1724 Å and the angles 90.00°, 90.00° and 90.00°. The distinct sites, in fractional coordinates, are Sm at (0.0000, 0.0000, 0.0000), Sn at (0.0000, 0.0000, 0.5000), Pt at (0.0000, 0.5000, 0.2593), Pt at (0.5000, 0.5000, 0.0000) and Pt at (0.5000, 0.5000, 0.5000).

For the density of states at the Fermi level, the calculation gives 6.34 states/eV per cell. For the total energy, the calculation gives -6.268 eV/atom.



(5)
A relaxed TcAs2BrO crystal. Source: the Alexandria database, functional PBE-GGA.

The structure belongs to space group P4/mmm (No. 123); the cell edges are 4.1100, 4.1100 and 5.5654 Å and the angles 90.00°, 90.00° and 90.00°. The distinct sites, in fractional coordinates, are Tc at (0.0000, 0.0000, 0.0000), As at (0.0000, 0.5000, 0.5000), Br at (0.5000, 0.5000, 0.0000) and O at (0.5000, 0.5000, 0.5000).

The energy above the most stable polymorph in this dataset is 0 meV per atom. Its energy relative to the elements, uncorrected is 0.6707 eV per atom. For the density of states at the Fermi level, the calculation gives 2.72 states/eV per cell.



(6)
A relaxed SmZn12 crystal. Source: the Alexandria database, functional PBE-GGA.

The structure belongs to space group I4/mmm (No. 139); the cell edges are 8.8492, 8.8492 and 5.3057 Å and the angles 90.00°, 90.00° and 90.00°. The distinct sites, in fractional coordinates, are Sm at (0.0000, 0.0000, 0.0000), Zn at (0.0000, 0.2186, 0.5000), Zn at (0.0000, 0.3541, 0.0000) and Zn at (0.2500, 0.2500, 0.2500).

For the density of states at the Fermi level, the calculation gives 2.04 states/eV per cell. For the total energy, the calculation gives -1.729 eV/atom.



(7)
A relaxed RbZrBe2Fe crystal. Source: the Alexandria database, functional PBE-GGA.

The structure belongs to space group P4/mmm (No. 123); the cell edges are 4.3332, 4.3332 and 4.7772 Å and the angles 90.00°, 90.00° and 90.00°. The distinct sites, in fractional coordinates, are Rb at (0.0000, 0.0000, 0.0000), Zr at (0.5000, 0.5000, 0.0000), Be at (0.0000, 0.5000, 0.5000) and Fe at (0.0000, 0.0000, 0.5000).

The energy above the most stable polymorph in this dataset is 732 meV per atom. For the density of states at the Fermi level, the calculation gives 4.95 states/eV per cell.



(8)
A relaxed PmBiSb crystal. Source: the Alexandria database, functional PBE-GGA.

The structure belongs to space group C2/m (No. 12); the cell edges are 11.0697, 4.2701 and 8.0478 Å and the angles 90.00°, 92.71° and 90.00°. The distinct sites, in fractional coordinates, are Pm at (0.0808, 0.0000, 0.2451), Bi at (0.1270, 0.5000, 0.9123) and Sb at (0.2066, 0.0000, 0.6220).

The energy above the most stable polymorph in this dataset is 47 meV per atom. Its energy relative to the elements, uncorrected is -0.5870 eV per atom. For the density of states at the Fermi level, the calculation gives 6.07 states/eV per cell.



(9)
A relaxed KTlSe crystal. Source: the Alexandria database, functional PBE-GGA.

The structure belongs to space group I4mm (No. 107); the cell edges are 4.0056, 4.0056 and 11.7598 Å and the angles 90.00°, 90.00° and 90.00°. The distinct sites, in fractional coordinates, are K at (0.0000, 0.0000, 0.0000), Tl at (0.0000, 0.0000, 0.7115) and Se at (0.0000, 0.0000, 0.3299).

The energy above the most stable polymorph in this dataset is 111 meV per atom. Its energy relative to the elements, uncorrected is -0.6542 eV per atom.



(10)
A relaxed LiAcScCu crystal. Source: the Alexandria database, functional PBE-GGA.

The structure belongs to space group F-43m (No. 216); the cell edges are 7.3013, 7.3013 and 7.3013 Å and the angles 90.00°, 90.00° and 90.00°. The distinct sites, in fractional coordinates, are Li at (0.0000, 0.0000, 0.0000), Ac at (0.2500, 0.2500, 0.2500), Sc at (0.2500, 0.2500, 0.7500) and Cu at (0.0000, 0.0000, 0.5000).

For the density of states at the Fermi level, the calculation gives 22.04 states/eV per cell. For the total energy, the calculation gives -4.018 eV/atom.



(11)
A relaxed CaSn2Mo crystal. Source: the Alexandria database, functional PBE-GGA.

The structure belongs to space group Fm-3m (No. 225); the cell edges are 7.0756, 7.0756 and 7.0756 Å and the angles 90.00°, 90.00° and 90.00°. The distinct sites, in fractional coordinates, are Ca at (0.0000, 0.0000, 0.0000), Sn at (0.2500, 0.2500, 0.2500) and Mo at (0.0000, 0.0000, 0.5000).

The energy above the most stable polymorph in this dataset is 0 meV per atom. For the density of states at the Fermi level, the calculation gives 13.15 states/eV per cell.



> Number 5 is which compound?

TcAs2BrO



> Which formula does entry 1 have?

TiZn4Cd



> Number 10 is which compound?

LiAcScCu